A plane-wave DFT calculation with PBE+U was carried out for a geometry-optimized Li2CaMoF6 structure.

Total DFT energy (no corrections) ... -52.4 eV/f.u.
V ... 132 Å³ per cell

Cell: 5.485 5.509 5.897 Å, 91.13 116.18 119.82°
Element x y z (fractional)
Li (0.000, 0.000, 0.000)
Li (0.050, 0.553, 0.555)
Ca (0.577, 0.807, 0.359)
Mo (0.586, 0.313, 0.877)
F (0.067, 0.885, 0.673)
F (0.077, 0.730, 0.173)
F (0.423, 0.370, 0.141)
F (0.450, 0.597, 0.657)
F (0.778, 0.085, 0.134)
F (0.783, 0.241, 0.644)